Mg5Tl2SnPb2: relaxed, PBE.

abc: 12.2826 12.2826 3.5244
angles: 90.00 90.00 90.00
Last column: nearest neighbours and their distance in Å.
Space group P4/mbm (No. 127)
Symmetry-distinct sites (fractional):
Mg1 0.0000 0.5000 0.0000 [2 per cell]  4 Pb 3.15, 4 Tl 3.31, 2 Mg 3.52
Mg2 0.0009 0.2036 0.0000 [8 per cell]  2 Sn 3.06, 2 Pb 3.11, 2 Tl 3.13
Tl1 0.1616 0.6616 0.5000 [4 per cell]  6 Mg 3.13-3.31, 1 Pb 3.26
Sn1 0.0000 0.0000 0.5000 [2 per cell]  8 Mg 3.06
Pb1 0.1505 0.3495 0.5000 [4 per cell]  6 Mg 3.11-3.15, 1 Tl 3.26

Properties
E_form in eV/atom: -0.019

=====

PmGdGaTc: relaxed, PBE.

abc: 7.1242 7.1242 7.1242
angles: 90.00 90.00 90.00
Last column: nearest neighbours and their distance in Å.
Space group F-43m (No. 216)
Symmetry-distinct sites (fractional):
Pm1 0.0000 0.0000 0.0000 [4 per cell]  4 Tc 3.08, 4 Ga 3.08
Gd1 0.0000 0.0000 0.5000 [4 per cell]  4 Tc 3.08, 4 Ga 3.08
Ga1 0.2500 0.2500 0.7500 [4 per cell]  4 Gd 3.08, 4 Pm 3.08
Tc1 0.2500 0.2500 0.2500 [4 per cell]  4 Gd 3.08, 4 Pm 3.08

Properties
E_form in eV/atom: -0.151

=====

K12Se3F5: relaxed, PBE.

abc: 17.2540 17.2540 17.2540
angles: 90.00 90.00 90.00
Last column: nearest neighbours and their distance in Å.
Space group Ia-3d (No. 230)
Symmetry-distinct sites (fractional):
K1 0.0276 0.0557 0.6519 [96 per cell]  2 F 2.57-2.83
Se1 0.0000 0.2500 0.1250 [24 per cell]  8 K 3.27-3.42
F1 0.0000 0.0000 0.0000 [16 per cell]  6 K 2.83
F2 0.0000 0.2500 0.3750 [24 per cell]  4 K 2.57

Properties
ΔE_f (raw) in eV per atom: -1.787

=====

DyThSn: relaxed, PBE.

abc: 3.7118 3.7118 13.0974
angles: 90.00 90.00 90.00
Last column: nearest neighbours and their distance in Å.
Space group I4mm (No. 107)
Symmetry-distinct sites (fractional):
Dy1 0.0000 0.0000 0.0000 [2 per cell]  4 Sn 3.26, 4 Th 3.63
Th1 0.0000 0.0000 0.3082 [2 per cell]  4 Sn 3.37, 4 Dy 3.63, 4 Th 3.71
Sn1 0.0000 0.0000 0.6471 [2 per cell]  4 Dy 3.26, 4 Th 3.37

Properties
Relative energy among the computed polymorphs in kJ/mol of atoms: 20.0
E_form in eV/atom: -0.301

=====

AlAg2Br: relaxed, PBE.

abc: 3.9072 3.9072 11.7805
angles: 90.00 90.00 90.00
Last column: nearest neighbours and their distance in Å.
Space group I-4m2 (No. 119)
Symmetry-distinct sites (fractional):
Al1 0.0000 0.0000 0.0000 [2 per cell]  4 Ag 2.76
Ag1 0.0000 0.0000 0.5000 [2 per cell]  4 Al 2.76
Ag2 0.0000 0.5000 0.2500 [2 per cell]  4 Br 2.76
Br1 0.0000 0.5000 0.7500 [2 per cell]  4 Ag 2.76

Properties
ΔE_f (raw) in eV per atom: 0.179
Relative energy among the computed polymorphs in kJ/mol of atoms: 19.0

=====

BaCa2Ta: relaxed, PBE.

abc: 3.4993 3.4993 37.0313
angles: 90.00 90.00 120.00
Last column: nearest neighbours and their distance in Å.
Space group R-3m (No. 166, hexagonal axes)
Symmetry-distinct sites (fractional):
Ba1 0.0000 0.0000 0.0000 [3 per cell]  6 Ba 3.50
Ca1 0.0000 0.0000 0.2354 [6 per cell]  3 Ta 3.25, 6 Ca 3.50
Ta1 0.0000 0.0000 0.5000 [3 per cell]  6 Ca 3.25, 6 Ta 3.50

Properties
Relative energy among the computed polymorphs in kJ/mol of atoms: 5.3
E_form in eV/atom: 0.710